Density functional theory data (meta-GGA SCAN) for a crystal of Ba2SrPt relaxed with PBEsol.

Computed properties:
N(E_F): 1.006 states/eV per atom
crystal system: tetragonal
raw total energy: -171.96 eV per cell
calculated formation energy: -99 meV/atom
total magnetic moment: 0.000 μB/atom

Cell lengths 5.2223, 5.2223, 4.9750 Å; angles 90.00, 90.00, 90.00 degrees
Last column: nearest neighbours and their distance in Å.
Positions (direct):
Ba: 0.0000 0.5000 0.0000  4 Sr 3.61, 4 Pt 3.61, 4 Ba 3.69
Ba: 0.5000 0.0000 0.0000  4 Sr 3.61, 4 Pt 3.61, 4 Ba 3.69
Sr: 0.0000 0.0000 0.5000  8 Ba 3.61, 4 Pt 3.69
Pt: 0.5000 0.5000 0.5000  8 Ba 3.61, 4 Sr 3.69